# Li2MnC2

A geometry-optimized Li2MnC2 structure (PBE, the Alexandria database).

Cell lengths 3.640, 3.640, 4.184 Å; angles 64.21, 64.21, 90.00 degrees
Fractional positions:
C1 0.750 0.250 0.500
C2 0.250 0.750 0.500
Mn1 0.000 0.000 0.000
Li1 0.357 0.357 0.287
Li2 0.643 0.643 0.713

Values from the calculation:
D(E_F) (states/eV/cell): 1.68
Energy of formation (eV/atom): 1.242
Total energy (eV/atom): -5.047
Spin magnetization (Bohr magnetons per cell): 2.8
ΔE to the lowest computed polymorph (eV/atom): 0.026